No. 1
NdTlNiRh | PBE-GGA | relaxed

Total moment = 0.00 μB/cell
Calculated total energy = -5.30 eV per atom

Unit cell a=6.7919 b=6.7919 c=6.7919 alpha=90.00 beta=90.00 gamma=90.00
Closest atoms and distances in Å follow each position.
Space group F-43m (No. 216)
Symmetry-distinct sites (fractional):
1 Nd 0.0000 0.0000 0.0000 (multiplicity 4)  4 Rh 2.94, 4 Ni 2.94
2 Tl 0.0000 0.0000 0.5000 (multiplicity 4)  4 Ni 2.94, 4 Rh 2.94
3 Ni 0.2500 0.2500 0.2500 (multiplicity 4)  4 Tl 2.94, 4 Nd 2.94
4 Rh 0.2500 0.2500 0.7500 (multiplicity 4)  4 Tl 2.94, 4 Nd 2.94

=====

No. 2
Sr4TlO | PBE-GGA | relaxed

Total moment = 2.12 μB/cell
ΔE_f (raw) = -518 kJ/mol of formula units

Unit cell a=6.8668 b=8.0881 c=8.4544 alpha=104.89 beta=113.67 gamma=90.02
Closest atoms and distances in Å follow each position.
Space group P-1 (No. 2)
Symmetry-distinct sites (fractional):
1 Sr 0.0055 0.0549 0.2944 (multiplicity 2)  1 O 2.40
2 Sr 0.2136 0.4444 0.7046 (multiplicity 2)  1 O 2.41
3 Sr 0.2554 0.3550 0.1226 (multiplicity 2)  1 O 2.70
4 Sr 0.3663 0.8544 0.1220 (multiplicity 2)  1 O 2.71
5 Tl 0.3614 0.7515 0.5012 (multiplicity 2)  8 Sr 3.53-3.77
6 O 0.0000 0.0000 0.0000 (multiplicity 1)  2 Sr 2.40
7 O 0.5000 0.5000 0.0000 (multiplicity 1)  2 Sr 2.41

=====

No. 3
FePd8Pt2 | PBE-GGA | relaxed

Distance to the lowest polymorph of the same formula = 0.0000 eV/atom
Total moment = 11.98 μB/cell

Unit cell a=14.1715 b=3.9324 c=6.2046 alpha=90.00 beta=105.10 gamma=90.00
Closest atoms and distances in Å follow each position.
Space group C2/m (No. 12)
Symmetry-distinct sites (fractional):
1 Fe 0.0000 0.0000 0.0000 (multiplicity 2)  12 Pd 2.72-2.76
2 Pd 0.0445 0.5000 0.7317 (multiplicity 4)  9 Pd 2.71-2.83, 2 Fe 2.75, 1 Pt 2.79
3 Pd 0.0893 0.0000 0.4443 (multiplicity 4)  1 Fe 2.72, 8 Pd 2.75-2.83, 3 Pt 2.79
4 Pd 0.1330 0.5000 0.1750 (multiplicity 4)  7 Pd 2.71-2.83, 2 Fe 2.74, 3 Pt 2.80-2.84
5 Pd 0.1801 0.0000 0.9083 (multiplicity 4)  1 Fe 2.76, 8 Pd 2.76-2.83, 3 Pt 2.79-2.81
6 Pt 0.2254 0.5000 0.6325 (multiplicity 4)  2 Pt 2.77, 10 Pd 2.79-2.84

=====

No. 4
TlP2Se | PBE-GGA | relaxed

Distance to the lowest polymorph of the same formula = 0.0252 eV/atom
Total moment = 0.00 μB/cell
ΔE_f (raw) = 35 kJ/mol of formula units

Unit cell a=3.5250 b=3.5250 c=24.4089 alpha=90.00 beta=90.00 gamma=120.00
Closest atoms and distances in Å follow each position.
Space group R3m (No. 160, hexagonal axes)
Symmetry-distinct sites (fractional):
1 Tl 0.0000 0.0000 0.0000 (multiplicity 3)  3 Se 3.20, 3 P 3.50, 6 Tl 3.52
2 P 0.0000 0.0000 0.2168 (multiplicity 3)  3 P 2.35
3 P 0.0000 0.0000 0.5020 (multiplicity 3)  3 P 2.35, 3 Se 2.62
4 Se 0.0000 0.0000 0.7680 (multiplicity 3)  3 P 2.62

=====

No. 5
Sc2SbBr | PBE-GGA | relaxed

Distance to the lowest polymorph of the same formula = 0.7444 eV/atom
Total moment = 8.07 μB/cell
ΔE_f (raw) = -38 kJ/mol of formula units

Unit cell a=7.3203 b=7.3203 c=7.3203 alpha=90.00 beta=90.00 gamma=90.00
Closest atoms and distances in Å follow each position.
Space group F-43m (No. 216)
Symmetry-distinct sites (fractional):
1 Sc 0.0000 0.0000 0.0000 (multiplicity 4)  4 Sc 3.17, 4 Br 3.17
2 Sc 0.2500 0.2500 0.2500 (multiplicity 4)  4 Sb 3.17, 4 Sc 3.17
3 Sb 0.0000 0.0000 0.5000 (multiplicity 4)  4 Br 3.17, 4 Sc 3.17
4 Br 0.2500 0.2500 0.7500 (multiplicity 4)  4 Sb 3.17, 4 Sc 3.17

=====

No. 6
NdSm5Tl2 | PBE-GGA | relaxed

Distance to the lowest polymorph of the same formula = 0.0805 eV/atom
Total moment = 0.00 μB/cell

Unit cell a=5.5485 b=5.5485 c=20.3457 alpha=90.00 beta=90.00 gamma=120.00
Closest atoms and distances in Å follow each position.
Space group P6_3/mmc (No. 194)
Symmetry-distinct sites (fractional):
1 Nd 0.3333 0.6667 0.2500 (multiplicity 2)  3 Sm 3.20, 2 Tl 3.21
2 Sm 0.0000 0.0000 0.1624 (multiplicity 4)  3 Tl 3.51, 7 Sm 3.57-3.77, 3 Nd 3.67
3 Sm 0.3333 0.6667 0.5647 (multiplicity 4)  4 Tl 3.19-3.25
4 Sm 0.3333 0.6667 0.7500 (multiplicity 2)  3 Nd 3.20
5 Tl 0.3333 0.6667 0.0920 (multiplicity 4)  7 Sm 3.19-3.51, 1 Nd 3.21

=====

No. 7
HoAlNi | PBE-GGA | relaxed

Total moment = 0.00 μB/cell
Calculated total energy = -5.23 eV per atom

Unit cell a=8.4381 b=5.3763 c=9.2224 alpha=90.00 beta=90.00 gamma=90.00
Closest atoms and distances in Å follow each position.
Space group Amm2 (No. 38)
Symmetry-distinct sites (fractional):
1 Ho 0.1765 0.0000 0.0000 (multiplicity 4)  4 Ho 2.98-3.26, 7 Ni 3.03-3.11, 5 Al 3.05-3.18
2 Ho 0.2941 0.0000 0.6631 (multiplicity 4)  5 Ni 2.91-3.20, 7 Al 3.11-3.20, 3 Ho 3.24-3.26
3 Al 0.2389 0.0000 0.3256 (multiplicity 4)  4 Ni 2.54-2.67, 2 Al 2.73
4 Al 0.5000 0.2455 0.9166 (multiplicity 4)  2 Ni 2.62-2.71, 4 Al 2.64-2.74
5 Ni 0.0000 0.0000 0.4946 (multiplicity 2)  2 Al 2.55, 4 Ni 2.66-2.67
6 Ni 0.0000 0.2469 0.7451 (multiplicity 4)  2 Al 2.54, 4 Ni 2.66-2.72
7 Ni 0.5000 0.0000 0.1625 (multiplicity 2)  6 Al 2.62-2.71

=====

No. 8
NpZnGaIr | PBE-GGA | relaxed

Total moment = 14.40 μB/cell
Calculated total energy = -6.61 eV per atom

Unit cell a=6.6096 b=6.6096 c=6.6096 alpha=90.00 beta=90.00 gamma=90.00
Closest atoms and distances in Å follow each position.
Space group F-43m (No. 216)
Symmetry-distinct sites (fractional):
1 Np 0.0000 0.0000 0.0000 (multiplicity 4)  4 Zn 2.86, 4 Ir 2.86
2 Zn 0.2500 0.2500 0.7500 (multiplicity 4)  4 Np 2.86, 4 Ga 2.86
3 Ga 0.0000 0.0000 0.5000 (multiplicity 4)  4 Ir 2.86, 4 Zn 2.86
4 Ir 0.2500 0.2500 0.2500 (multiplicity 4)  4 Np 2.86, 4 Ga 2.86